A relaxed YNiHg3 crystal, computed with PBE.

Results
SG	Pm-3m
formation energy from the elements	483	kJ/mol of formula units
polymorph energy (0 for the lowest one)	4.959	eV/f.u.
final energy	-8.1	eV per cell
Fermi-level density of states	16.03	states/eV/cell

Cell: 5.817 5.817 5.817 Å, 90.00 90.00 90.00°
Fractional coordinates of all 5 atoms:
Ni 0.500 0.500 0.500
Hg 0.000 0.500 0.000
Hg 0.000 0.000 0.500
Hg 0.500 0.000 0.000
Y 0.000 0.000 0.000